1.
Below is a relaxed structure of Na2PuBi3, with properties calculated at the PBE-GGA level.

Computed properties:
* DOS(E_F): 8.94 states/eV/cell
* electronic total energy: -30.6 eV for the cell shown
* V: 175.40 Å³/f.u.

Structure (POSCAR):
```
Na2PuBi3
1.0
-0.600 3.171 -1.245
-3.249 -0.152 1.179
4.346 5.821 12.730
Na Pu Bi
2 1 3
direct
0.500 0.500 0.835 Na
0.500 0.500 0.165 Na
0.500 0.500 0.500 Pu
0.000 0.000 0.000 Bi
0.000 0.000 0.664 Bi
0.000 0.000 0.336 Bi
```



2.
Below is a relaxed structure of NaPu2Bi9, with properties calculated at the PBE-GGA level.

Computed properties:
* DOS(E_F): 25.33 states/eV/cell
* electronic total energy: -67.4 eV for the cell shown
* V: 362.67 Å³/f.u.

Structure (POSCAR):
```
NaPu2Bi9
1.0
-0.210 3.885 -3.047
0.051 -3.048 -3.890
-14.834 -0.591 0.268
Na Pu Bi
1 2 9
direct
0.000 0.000 0.000 Na
0.000 0.000 0.337 Pu
0.000 0.000 0.663 Pu
0.500 0.500 0.000 Bi
0.500 0.500 0.331 Bi
0.500 0.500 0.669 Bi
0.500 0.000 0.168 Bi
0.500 0.000 0.500 Bi
0.500 0.000 0.832 Bi
0.000 0.500 0.168 Bi
0.000 0.500 0.500 Bi
0.000 0.500 0.832 Bi
```



3.
Below is a relaxed structure of Na3PuBi4, with properties calculated at the PBE-GGA level.

Computed properties:
* DOS(E_F): 9.43 states/eV/cell
* electronic total energy: -36.4 eV for the cell shown
* V: 233.56 Å³/f.u.

Structure (POSCAR):
```
Na3PuBi4
1.0
-2.110 -2.708 0.358
1.216 -0.527 3.187
-13.891 11.783 7.247
Na Bi Pu
3 4 1
direct
0.500 0.500 0.251 Na
0.500 0.500 0.500 Na
0.500 0.500 0.749 Na
0.000 0.000 0.877 Bi
0.000 0.000 0.123 Bi
0.000 0.000 0.374 Bi
0.000 0.000 0.626 Bi
0.500 0.500 0.000 Pu
```



4.
Below is a relaxed structure of Na3PuBi3, with properties calculated at the PBE-GGA level.

Computed properties:
* DOS(E_F): 12.29 states/eV/cell
* electronic total energy: -31.8 eV for the cell shown
* V: 228.65 Å³/f.u.

Structure (POSCAR):
```
Na3PuBi3
1.0
6.487 -0.223 -0.302
-1.699 6.264 -0.302
-1.699 -2.144 5.894
Na Pu Bi
3 1 3
direct
0.550 0.550 0.122 Na
0.550 0.122 0.550 Na
0.122 0.550 0.550 Na
0.010 0.010 0.010 Pu
0.522 0.023 0.023 Bi
0.023 0.023 0.522 Bi
0.023 0.522 0.023 Bi
```



Please write out number 3 again, unchanged.
Below is a relaxed structure of Na3PuBi4, with properties calculated at the PBE-GGA level.

Computed properties:
* DOS(E_F): 9.43 states/eV/cell
* electronic total energy: -36.4 eV for the cell shown
* V: 233.56 Å³/f.u.

Structure (POSCAR):
```
Na3PuBi4
1.0
-2.110 -2.708 0.358
1.216 -0.527 3.187
-13.891 11.783 7.247
Na Bi Pu
3 4 1
direct
0.500 0.500 0.251 Na
0.500 0.500 0.500 Na
0.500 0.500 0.749 Na
0.000 0.000 0.877 Bi
0.000 0.000 0.123 Bi
0.000 0.000 0.374 Bi
0.000 0.000 0.626 Bi
0.500 0.500 0.000 Pu
```